No. 1
DFT (PBE) results for crystalline AsIr2Au at its relaxed geometry.

Cell lengths 2.8640, 4.9446, 9.1078 Å; angles 90.00, 90.00, 90.00 degrees
Last column: nearest neighbours and their distance in Å.
Fractional positions:
1 As 0.0000 0.0000 0.0000  4 Ir 2.53
2 As 0.5000 0.5000 0.0000  4 Ir 2.53
3 Ir 0.0000 0.5000 0.2288  2 As 2.53
4 Ir 0.0000 0.5000 0.7712  2 As 2.53
5 Ir 0.5000 0.0000 0.2288  2 As 2.53
6 Ir 0.5000 0.0000 0.7712  2 As 2.53
7 Au 0.0000 0.0000 0.5000  4 Ir 2.86, 6 Au 2.86
8 Au 0.5000 0.5000 0.5000  4 Ir 2.86, 6 Au 2.86

## Properties
M_tot   0.00 μB/f.u.
Crystal system   orthorhombic
Calculated formation energy   0.388 eV/atom
Mass density   16.9 Mg/m³

No. 2
DFT (PBE) results for crystalline AlReOs2Pt at its relaxed geometry.

Cell lengths 4.6968, 4.6968, 4.8365 Å; angles 90.00, 90.00, 90.00 degrees
Last column: nearest neighbours and their distance in Å.
Fractional positions:
1 Al 0.0000 0.0000 0.0000  4 Pt 3.32, 8 Os 3.37
2 Re 0.5000 0.5000 0.5000  4 Os 2.35, 2 Pt 2.42
3 Os 0.0000 0.5000 0.5000  2 Re 2.35
4 Os 0.5000 0.0000 0.5000  2 Re 2.35
5 Pt 0.5000 0.5000 0.0000  2 Re 2.42

## Properties
M_tot   0.06 μB/f.u.
Crystal system   tetragonal
Calculated formation energy   1.831 eV/atom
Mass density   12.3 Mg/m³

No. 3
DFT (PBE) results for crystalline Hf3InBi at its relaxed geometry.

Cell lengths 5.2400, 5.2400, 5.2400 Å; angles 90.00, 90.00, 90.00 degrees
Last column: nearest neighbours and their distance in Å.
Fractional positions:
1 Hf 0.0000 0.0000 0.5000  2 In 2.62
2 Hf 0.0000 0.5000 0.0000  2 In 2.62
3 Hf 0.5000 0.0000 0.0000  2 In 2.62
4 In 0.0000 0.0000 0.0000  6 Hf 2.62
5 Bi 0.5000 0.5000 0.5000  12 Hf 3.71

## Properties
M_tot   0.00 μB/f.u.
Crystal system   cubic
Relative energy among the computed polymorphs   1070 meV per atom
Calculated formation energy   1.002 eV/atom
Mass density   9.9 Mg/m³

No. 4
DFT (PBE) results for crystalline Na3Nd12H5 at its relaxed geometry.

Cell lengths 14.1480, 14.1480, 14.1480 Å; angles 109.47, 109.47, 109.47 degrees
Last column: nearest neighbours and their distance in Å.
Fractional positions:
1 Na 0.1250 0.2500 0.3750  8 Nd 3.35-3.36
2 Na 0.1250 0.3750 0.7500  8 Nd 3.35-3.36
3 Na 0.2500 0.3750 0.1250  8 Nd 3.35-3.36
4 Na 0.2500 0.8750 0.6250  8 Nd 3.35-3.36
5 Na 0.3750 0.1250 0.2500  8 Nd 3.35-3.36
6 Na 0.3750 0.7500 0.1250  8 Nd 3.35-3.36
7 Na 0.6250 0.2500 0.8750  8 Nd 3.35-3.36
8 Na 0.6250 0.8750 0.7500  8 Nd 3.35-3.36
9 Na 0.7500 0.1250 0.3750  8 Nd 3.35-3.36
10 Na 0.7500 0.6250 0.8750  8 Nd 3.35-3.36
11 Na 0.8750 0.6250 0.2500  8 Nd 3.35-3.36
12 Na 0.8750 0.7500 0.6250  8 Nd 3.35-3.36
13 Nd 0.0058 0.1996 0.1021  1 H 2.27
14 Nd 0.0058 0.3062 0.9037  1 H 2.27
15 Nd 0.0963 0.6021 0.4025  1 H 2.27
16 Nd 0.0963 0.9942 0.6938  1 H 2.27
17 Nd 0.0975 0.6996 0.6938  1 H 2.27
18 Nd 0.0975 0.8979 0.4037  1 H 2.27
19 Nd 0.1021 0.0058 0.1996  1 H 2.27
20 Nd 0.1021 0.5963 0.9025  1 H 2.27
21 Nd 0.1938 0.1996 0.5975  1 H 2.27
22 Nd 0.1938 0.4942 0.5963  1 H 2.27
23 Nd 0.1996 0.1021 0.0058  1 H 2.27
24 Nd 0.1996 0.5975 0.1938  1 H 2.27
25 Nd 0.3004 0.3062 0.9025  1 H 2.27
26 Nd 0.3004 0.4942 0.3979  1 H 2.27
27 Nd 0.3062 0.9025 0.3004  1 H 2.27
28 Nd 0.3062 0.9037 0.0058  1 H 2.27
29 Nd 0.3979 0.3004 0.4942  1 H 2.27
30 Nd 0.3979 0.5975 0.9037  1 H 2.27
31 Nd 0.4025 0.0963 0.6021  1 H 2.27
32 Nd 0.4025 0.8062 0.8004  1 H 2.27
33 Nd 0.4037 0.0975 0.8979  1 H 2.27
34 Nd 0.4037 0.8062 0.5058  1 H 2.27
35 Nd 0.4942 0.3979 0.3004  1 H 2.27
36 Nd 0.4942 0.5963 0.1938  1 H 2.27
37 Nd 0.5058 0.4037 0.8062  1 H 2.27
38 Nd 0.5058 0.6021 0.6996  1 H 2.27
39 Nd 0.5963 0.1938 0.4942  1 H 2.27
40 Nd 0.5963 0.9025 0.1021  1 H 2.27
41 Nd 0.5975 0.1938 0.1996  1 H 2.27
42 Nd 0.5975 0.9037 0.3979  1 H 2.27
43 Nd 0.6021 0.4025 0.0963  1 H 2.27
44 Nd 0.6021 0.6996 0.5058  1 H 2.27
45 Nd 0.6938 0.0963 0.9942  1 H 2.27
46 Nd 0.6938 0.0975 0.6996  1 H 2.27
47 Nd 0.6996 0.5058 0.6021  1 H 2.27
48 Nd 0.6996 0.6938 0.0975  1 H 2.27
49 Nd 0.8004 0.4025 0.8062  1 H 2.27
50 Nd 0.8004 0.8979 0.9942  1 H 2.27
51 Nd 0.8062 0.5058 0.4037  1 H 2.27
52 Nd 0.8062 0.8004 0.4025  1 H 2.27
53 Nd 0.8979 0.4037 0.0975  1 H 2.27
54 Nd 0.8979 0.9942 0.8004  1 H 2.27
55 Nd 0.9025 0.1021 0.5963  1 H 2.27
56 Nd 0.9025 0.3004 0.3062  1 H 2.27
57 Nd 0.9037 0.0058 0.3062  1 H 2.27
58 Nd 0.9037 0.3979 0.5975  1 H 2.27
59 Nd 0.9942 0.6938 0.0963  1 H 2.27
60 Nd 0.9942 0.8004 0.8979  1 H 2.27
61 H 0.0000 0.0000 0.0000  6 Nd 2.67
62 H 0.0000 0.0000 0.5000  6 Nd 2.67
63 H 0.0000 0.5000 0.0000  6 Nd 2.67
64 H 0.0000 0.5000 0.5000  6 Nd 2.67
65 H 0.1250 0.7500 0.8750  4 Nd 2.27
66 H 0.1250 0.8750 0.2500  4 Nd 2.27
67 H 0.2500 0.1250 0.8750  4 Nd 2.27
68 H 0.2500 0.6250 0.3750  4 Nd 2.27
69 H 0.3750 0.2500 0.6250  4 Nd 2.27
70 H 0.3750 0.6250 0.7500  4 Nd 2.27
71 H 0.5000 0.0000 0.0000  6 Nd 2.67
72 H 0.5000 0.0000 0.5000  6 Nd 2.67
73 H 0.5000 0.5000 0.0000  6 Nd 2.67
74 H 0.5000 0.5000 0.5000  6 Nd 2.67
75 H 0.6250 0.3750 0.2500  4 Nd 2.27
76 H 0.6250 0.7500 0.3750  4 Nd 2.27
77 H 0.7500 0.3750 0.6250  4 Nd 2.27
78 H 0.7500 0.8750 0.1250  4 Nd 2.27
79 H 0.8750 0.1250 0.7500  4 Nd 2.27
80 H 0.8750 0.2500 0.1250  4 Nd 2.27

## Properties
M_tot   0.00 μB/f.u.
Crystal system   cubic
Total energy   -3.888 eV per atom
Mass density   5.5 Mg/m³

No. 5
DFT (PBE) results for crystalline LiPmPuBr6 at its relaxed geometry.

Cell lengths 6.8769, 6.8769, 12.8364 Å; angles 90.00, 90.00, 90.00 degrees
Last column: nearest neighbours and their distance in Å.
Fractional positions:
1 Li 0.0000 0.0000 0.0000  6 Br 2.76-2.84
2 Li 0.5000 0.5000 0.5000  6 Br 2.76-2.84
3 Pm 0.0000 0.0000 0.3334  6 Br 2.88-2.92
4 Pm 0.5000 0.5000 0.8334  6 Br 2.88-2.92
5 Pu 0.0000 0.0000 0.6629  6 Br 2.97-3.00
6 Pu 0.5000 0.5000 0.1629  6 Br 2.97-3.00
7 Br 0.1915 0.1915 0.1585  1 Li 2.76, 1 Pm 2.92, 1 Pu 3.00
8 Br 0.1997 0.1997 0.8406  1 Li 2.82, 1 Pm 2.92, 1 Pu 3.00
9 Br 0.2078 0.2078 0.4937  1 Li 2.84, 1 Pm 2.88, 1 Pu 2.97
10 Br 0.2922 0.7078 0.9937  1 Li 2.84, 1 Pm 2.88, 1 Pu 2.97
11 Br 0.3003 0.6997 0.3406  1 Li 2.82, 1 Pm 2.92, 1 Pu 3.00
12 Br 0.3085 0.6915 0.6585  1 Li 2.76, 1 Pm 2.92, 1 Pu 3.00
13 Br 0.6915 0.3085 0.6585  1 Li 2.76, 1 Pm 2.92, 1 Pu 3.00
14 Br 0.6997 0.3003 0.3406  1 Li 2.82, 1 Pm 2.92, 1 Pu 3.00
15 Br 0.7078 0.2922 0.9937  1 Li 2.84, 1 Pm 2.88, 1 Pu 2.97
16 Br 0.7922 0.7922 0.4937  1 Li 2.84, 1 Pm 2.88, 1 Pu 2.97
17 Br 0.8003 0.8003 0.8406  1 Li 2.82, 1 Pm 2.92, 1 Pu 3.00
18 Br 0.8085 0.8085 0.1585  1 Li 2.76, 1 Pm 2.92, 1 Pu 3.00

## Properties
M_tot   6.00 μB/f.u.
Crystal system   tetragonal
Mass density   4.8 Mg/m³
Formation energy without anion corrections   -1.61 eV per atom

No. 6
DFT (PBE) results for crystalline Y3TlSe at its relaxed geometry.

Cell lengths 9.2975, 6.6709, 10.2495 Å; angles 90.00, 113.71, 90.00 degrees
Last column: nearest neighbours and their distance in Å.
Fractional positions:
1 Y 0.0659 0.0870 0.3377  3 Se 2.78-2.80
2 Y 0.0659 0.4130 0.8377  3 Se 2.78-2.80
3 Y 0.2110 0.5826 0.5398  2 Se 2.77-2.82
4 Y 0.2110 0.9174 0.0398  2 Se 2.77-2.82
5 Y 0.3884 0.1345 0.8016  1 Se 2.83
6 Y 0.3884 0.3655 0.3016  1 Se 2.83
7 Y 0.6116 0.6345 0.6984  1 Se 2.83
8 Y 0.6116 0.8655 0.1984  1 Se 2.83
9 Y 0.7890 0.0826 0.9602  2 Se 2.77-2.82
10 Y 0.7890 0.4174 0.4602  2 Se 2.77-2.82
11 Y 0.9341 0.5870 0.1623  3 Se 2.78-2.80
12 Y 0.9341 0.9130 0.6623  3 Se 2.78-2.80
13 Tl 0.3841 0.6666 0.8776  6 Y 3.21-3.38, 1 Tl 3.40
14 Tl 0.3841 0.8334 0.3776  6 Y 3.21-3.38, 1 Tl 3.40
15 Tl 0.6159 0.1666 0.6224  6 Y 3.21-3.38, 1 Tl 3.40
16 Tl 0.6159 0.3334 0.1224  6 Y 3.21-3.38, 1 Tl 3.40
17 Se 0.0857 0.2341 0.5982  6 Y 2.77-2.83
18 Se 0.0857 0.2659 0.0982  6 Y 2.77-2.83
19 Se 0.9143 0.7341 0.9018  6 Y 2.77-2.83
20 Se 0.9143 0.7659 0.4018  6 Y 2.77-2.83

## Properties
M_tot   0.00 μB/f.u.
Crystal system   monoclinic
Relative energy among the computed polymorphs   133 meV per atom
Mass density   6.3 Mg/m³
Formation energy without anion corrections   -0.76 eV per atom

No. 7
DFT (PBE) results for crystalline RbSICl2 at its relaxed geometry.

Cell lengths 6.2110, 6.2110, 6.5813 Å; angles 90.00, 90.00, 90.00 degrees
Last column: nearest neighbours and their distance in Å.
Fractional positions:
1 Rb 0.0000 0.0000 0.0000  4 Cl 3.11, 2 S 3.29
2 S 0.0000 0.0000 0.5000  2 Rb 3.29
3 I 0.5000 0.5000 0.5000  4 S 4.39, 8 Cl 4.52
4 Cl 0.0000 0.5000 0.0000  2 Rb 3.11
5 Cl 0.5000 0.0000 0.0000  2 Rb 3.11

## Properties
M_tot   4.02 μB/f.u.
Crystal system   tetragonal
Relative energy among the computed polymorphs   761 meV per atom
Mass density   2.1 Mg/m³
Formation energy without anion corrections   0.27 eV per atom

No. 8
DFT (PBE) results for crystalline LiGe2Ru2 at its relaxed geometry.

Cell lengths 6.4326, 6.4326, 6.4326 Å; angles 113.90, 81.50, 137.95 degrees
Last column: nearest neighbours and their distance in Å.
Fractional positions:
1 Li 0.2500 0.2500 0.0000  2 Li 2.31
2 Li 0.7500 0.7500 0.0000  2 Li 2.31
3 Ge 0.1817 0.6956 0.8773  5 Ru 2.49-2.69, 2 Ge 2.77
4 Ge 0.3183 0.1956 0.5139  5 Ru 2.49-2.69, 2 Ge 2.77
5 Ge 0.6817 0.8044 0.4861  5 Ru 2.49-2.69, 2 Ge 2.77
6 Ge 0.8183 0.3044 0.1227  5 Ru 2.49-2.69, 2 Ge 2.77
7 Ru 0.0914 0.3590 0.4504  5 Ge 2.49-2.69, 1 Ru 2.66
8 Ru 0.4086 0.8590 0.2676  5 Ge 2.49-2.69, 1 Ru 2.66
9 Ru 0.5914 0.1410 0.7324  5 Ge 2.49-2.69, 1 Ru 2.66
10 Ru 0.9086 0.6410 0.5496  5 Ge 2.49-2.69, 1 Ru 2.66

## Properties
M_tot   0.00 μB/f.u.
Crystal system   orthorhombic
Calculated formation energy   -0.127 eV/atom
Mass density   7.5 Mg/m³

Look up the mass density of the second one. 12.3 Mg/m³

Number 6 is which compound? Y3TlSe

What is the formula in the fifth record? LiPmPuBr6